VASP calculation (PBE+U) on a relaxed BaMn2SeO2 crystal.

Lattice parameters (Å, degrees): 6.961 5.981 7.556 90.00 107.15 90.00
Space group P2_1/m (No. 11)
Symmetry-distinct sites (fractional):
Ba  0.167  0.250  0.312 (multiplicity 2)
Mn  0.378  0.004  0.780 (multiplicity 4)
Se  0.281  0.750  0.044 (multiplicity 2)
O  0.195  0.250  0.652 (multiplicity 2)
O  0.471  0.750  0.658 (multiplicity 2)

## Properties
Calculated volume = 300.6 Å³/cell
Raw total energy = -6.55 eV per atom